This record from the Alexandria database describes an optimized crystal structure of Hg2IrBr. The functional is PBE.

The structure in POSCAR format:
```
Hg2IrBr
1.0
3.136 0.000 0.000
0.000 4.577 0.000
0.000 0.000 7.421
Hg Ir Br
2 1 1
Direct
0.000 0.000 0.000
0.500 0.500 0.310
0.000 0.000 0.362
0.500 0.000 0.650
```

Properties
The value obtained for the energy above the most stable polymorph in this dataset is 0.000 eV per atom. Its uncorrected formation energy is 0.31 eV per atom. The crystal system is orthorhombic.